The following is a GGA-PBE calculation of a relaxed structure of TbNd5Sc2, from Alexandria.

The structure belongs to space group I4/mcm (No. 140); the cell edges are 9.1221, 9.1221 and 12.4937 Å and the angles 90.00°, 90.00° and 90.00°. Symmetry generates all atoms from Tb at (0.0000, 0.0000, 0.2500), Nd at (0.0000, 0.0000, 0.0000), Nd at (0.1485, 0.3515, 0.1592) and Sc at (0.1488, 0.3512, 0.5000).

The value obtained for the formation enthalpy at 0 K is 0.1404 eV/atom. For the total energy, the calculation gives -5.0012 eV per atom. As for the volume: 1040 Å³ per cell. The value obtained for the energy above the most stable polymorph in this dataset is 0.83 eV/f.u.